A plane-wave DFT calculation with PBE was carried out for crystalline AcBi2Se5 at its relaxed geometry.

extended XYZ file:
```
16
Lattice="8.088 0.000 0.000 0.000 8.088 0.000 -4.044 -4.044 6.678" Properties=species:S:1:pos:R:3 pbc="T T T"
Ac 4.044 4.044 3.339
Ac 0.000 0.000 3.339
Bi 1.378 2.666 0.000
Bi 5.422 1.378 0.000
Bi 2.666 6.709 0.000
Bi 6.709 5.422 0.000
Se 1.300 2.744 4.643
Se 5.344 6.788 2.035
Se 0.000 0.000 0.000
Se 4.044 4.044 0.000
Se -1.300 -2.744 4.643
Se 2.744 -1.300 4.643
Se -2.744 1.300 4.643
Se 1.300 5.344 2.035
Se 6.788 2.744 2.035
Se 2.744 1.300 2.035
```

Values from the calculation:
**Magnetization**: 0.0 μB/f.u.
**Uncorrected formation energy**: -0.782 eV per atom
**SG**: I4/mcm